Compound: LuPuHgIr
Source: the Alexandria database
Functional: PBE
Structure: optimized geometry Values from VASP.

Structure (Quantum ESPRESSO input):
```
&SYSTEM
  ibrav = 0, nat = 4, ntyp = 4
/
ATOMIC_SPECIES
Hg 200.59 Hg.upf
Lu 174.97 Lu.upf
Pu 244.00 Pu.upf
Ir 192.22 Ir.upf
CELL_PARAMETERS angstrom
-2.0217 4.3642 1.3983
-3.6285 2.0773 -2.7582
-4.6959 0.1426 1.7369
ATOMIC_POSITIONS crystal
Hg 0.5000 0.5000 0.5000
Lu 0.2500 0.2500 0.2500
Pu 0.7500 0.7500 0.7500
Ir 0.0000 0.0000 0.0000
```

## Properties
- DOS at the Fermi energy: 9.3 states/eV/f.u.
- M_tot: 1.312 μB/atom
- Formation energy from the elements: -0.389 eV per atom